Entry 1:
Tm2LuBe (PBE-GGA, optimized geometry); energy above the lowest structure with this stoichiometry = 59.2 kJ/mol of atoms; raw total energy = -3.628 eV per atom; mass density = 7.9 g cm⁻³; E_form = 0.67 eV/atom
1.0
-3.021 0.490 1.380
-0.924 -1.779 2.693
3.017 7.446 8.047
Be Lu Tm
1 1 2
Cartesian
0.000 0.000 0.000 Be
-0.464 3.079 6.060 Lu
1.915 5.442 6.344 Tm
-2.843 0.715 5.776 Tm

***

Entry 2:
RbZrTl2F8 (PBE-GGA, optimized geometry); E_form (uncorrected) = -3151 kJ/mol of formula units; raw total energy = -5.156 eV per atom; mass density = 5.0 g cm⁻³
1.0
5.154 -0.079 -0.002
-0.039 6.016 -0.006
0.005 0.009 7.950
Rb Zr Tl F
1 1 2 8
Cartesian
0.002 0.005 3.975 Rb
0.000 0.000 0.000 Zr
2.561 2.976 5.966 Tl
2.558 2.971 1.975 Tl
0.661 4.793 1.483 F
3.435 4.768 -0.006 F
4.455 1.148 1.485 F
4.458 1.154 6.458 F
1.684 1.179 7.948 F
0.665 4.799 6.457 F
2.950 4.259 3.969 F
2.169 1.688 3.973 F

***

Entry 3:
GdTlH (PBE-GGA, optimized geometry); energy above the lowest structure with this stoichiometry = 0.0 kJ/mol of atoms; raw total energy = -6.996 eV per atom; mass density = 9.6 g cm⁻³
1.0
-0.897 4.900 -1.945
-3.546 -0.860 -0.531
1.081 1.470 3.204
H Tl Gd
1 1 1
Cartesian
-0.610 1.508 1.636 H
-2.602 3.184 -0.583 Tl
-0.150 0.817 -0.324 Gd

***

Entry 4:
Mg2Ag8Sn (PBE-GGA, optimized geometry); energy above the lowest structure with this stoichiometry = 0.0 kJ/mol of atoms; raw total energy = -2.827 eV per atom; mass density = 8.4 g cm⁻³; E_form = -0.10 eV/atom
1.0
4.080 0.000 -1.173
-0.645 6.258 -2.244
0.023 0.564 7.765
Mg Ag Sn
2 8 1
Cartesian
0.499 4.321 1.734 Mg
2.960 2.501 2.614 Mg
2.138 2.963 -0.247 Ag
1.256 0.934 4.369 Ag
0.465 1.358 1.619 Ag
-0.287 4.566 -0.999 Ag
2.993 5.465 2.729 Ag
2.203 5.888 -0.020 Ag
1.321 3.859 4.596 Ag
3.746 2.256 5.347 Ag
2.040 0.000 -0.586 Sn

***

Entry 5:
NiPtSe2 (PBE-GGA, optimized geometry); E_form (uncorrected) = 27 kJ/mol of formula units; raw total energy = -4.628 eV per atom; mass density = 10.1 g cm⁻³
1.0
-6.187 1.207 -0.420
-5.221 -3.550 -0.221
5.471 1.658 2.689
Ni Pt Se
1 1 2
Cartesian
-5.951 -1.222 -0.335 Ni
-3.436 -1.677 1.034 Pt
-11.070 -2.273 -0.623 Se
-2.593 0.974 1.009 Se

***

Entry 6:
YEr2Cd2 (PBE-GGA, optimized geometry); energy above the lowest structure with this stoichiometry = 0.0 kJ/mol of atoms; raw total energy = -3.752 eV per atom; mass density = 8.0 g cm⁻³; E_form = -0.27 eV/atom
1.0
3.674 0.000 -0.493
0.000 5.312 0.000
-0.027 0.000 13.784
Y Er Cd
2 4 4
Cartesian
3.107 3.984 9.268 Y
0.540 1.328 4.022 Y
0.167 3.984 1.246 Er
3.480 1.328 12.044 Er
0.854 3.984 6.397 Er
2.793 1.328 6.893 Er
2.350 3.984 3.582 Cd
1.297 1.328 9.708 Cd
1.629 3.984 12.182 Cd
2.018 1.328 1.109 Cd